BaLiSn2Ir: relaxed, PBE.

Geometry as POSCAR:
```
BaLiSn2Ir
1.0
-2.331 2.331 5.845
2.331 -2.331 5.845
2.331 2.331 -5.845
Ba Li Sn Ir
1 1 2 1
direct
0.000 0.000 0.000 Ba
0.750 0.250 0.500 Li
0.363 0.363 0.000 Sn
0.637 0.637 0.000 Sn
0.250 0.750 0.500 Ir
```

DOS at the Fermi energy = 0.6879 states/eV/atom
formation energy from the elements = -0.416 eV/atom
space group = I-4m2 (119)

---

BaSr2LiIr: relaxed, PBE.

Geometry as POSCAR:
```
BaSr2LiIr
1.0
5.918 0.000 0.000
0.000 5.918 0.000
0.000 0.000 6.123
Ba Sr Li Ir
1 2 1 1
direct
0.000 0.000 0.000 Ba
0.000 0.500 0.500 Sr
0.500 0.000 0.500 Sr
0.500 0.500 0.000 Li
0.000 0.000 0.500 Ir
```

DOS at the Fermi energy = 0.8343 states/eV/atom
formation energy from the elements = -0.066 eV/atom
space group = P4/mmm (123)
polymorph energy (0 for the lowest one) = 0 meV/atom

---

BaSr2LiIr: relaxed, PBE.

Geometry as POSCAR:
```
BaSr2LiIr
1.0
5.863 0.000 0.000
0.000 5.863 0.000
0.000 0.000 5.453
Ba Sr Li Ir
1 2 1 1
direct
0.000 0.000 0.000 Ba
0.000 0.500 0.500 Sr
0.500 0.000 0.500 Sr
0.500 0.500 0.000 Li
0.500 0.500 0.500 Ir
```

DOS at the Fermi energy = 0.8373 states/eV/atom
formation energy from the elements = 0.086 eV/atom
space group = P4/mmm (123)
polymorph energy (0 for the lowest one) = 152 meV/atom

---

BaLiTeIr2: relaxed, PBE.

Geometry as POSCAR:
```
BaLiTeIr2
1.0
5.201 0.000 0.000
0.000 5.201 0.000
0.000 0.000 4.906
Ba Li Te Ir
1 1 1 2
direct
0.000 0.000 0.000 Ba
0.000 0.000 0.500 Li
0.500 0.500 0.500 Te
0.000 0.500 0.000 Ir
0.500 0.000 0.000 Ir
```

DOS at the Fermi energy = 0.8761 states/eV/atom
energy relative to the elements, uncorrected = 1.66 eV per atom
space group = P4/mmm (123)

---

Ba2LiTeIr: relaxed, PBE.

Geometry as POSCAR:
```
Ba2LiTeIr
1.0
5.988 0.000 0.000
0.000 5.988 0.000
0.000 0.000 4.832
Ba Li Te Ir
2 1 1 1
direct
0.000 0.500 0.000 Ba
0.500 0.000 0.000 Ba
0.000 0.000 0.500 Li
0.500 0.500 0.500 Te
0.000 0.000 0.000 Ir
```

DOS at the Fermi energy = 1.1916 states/eV/atom
energy relative to the elements, uncorrected = -0.57 eV per atom
space group = P4/mmm (123)

---

BaLi2TlIr: relaxed, PBE.

Geometry as POSCAR:
```
BaLi2TlIr
1.0
5.023 0.000 0.000
0.000 5.023 0.000
0.000 0.000 5.270
Ba Li Tl Ir
1 2 1 1
direct
0.000 0.000 0.000 Ba
0.000 0.500 0.500 Li
0.500 0.000 0.500 Li
0.500 0.500 0.000 Tl
0.500 0.500 0.500 Ir
```

DOS at the Fermi energy = 0.6369 states/eV/atom
formation energy from the elements = -0.044 eV/atom
space group = P4/mmm (123)

---

Ba2LiTlIr: relaxed, PBE.

Geometry as POSCAR:
```
Ba2LiTlIr
1.0
6.111 0.000 0.000
0.000 6.111 0.000
0.000 0.000 5.337
Ba Li Tl Ir
2 1 1 1
direct
0.000 0.500 0.000 Ba
0.500 0.000 0.000 Ba
0.000 0.000 0.500 Li
0.500 0.500 0.500 Tl
0.500 0.500 0.000 Ir
```

DOS at the Fermi energy = 0.6019 states/eV/atom
formation energy from the elements = -0.073 eV/atom
space group = P4/mmm (123)
polymorph energy (0 for the lowest one) = 0 meV/atom

---

Ba2LiTlIr: relaxed, PBE.

Geometry as POSCAR:
```
Ba2LiTlIr
1.0
6.066 0.000 0.000
0.000 6.066 0.000
0.000 0.000 4.946
Ba Li Tl Ir
2 1 1 1
direct
0.000 0.500 0.000 Ba
0.500 0.000 0.000 Ba
0.000 0.000 0.500 Li
0.500 0.500 0.500 Tl
0.000 0.000 0.000 Ir
```

DOS at the Fermi energy = 0.9017 states/eV/atom
formation energy from the elements = -0.018 eV/atom
space group = P4/mmm (123)
polymorph energy (0 for the lowest one) = 55 meV/atom

---

BaLiY2Ir: relaxed, PBE.

Geometry as POSCAR:
```
BaLiY2Ir
1.0
5.386 0.000 0.000
0.000 5.386 0.000
0.000 0.000 5.565
Ba Li Y Ir
1 1 2 1
direct
0.000 0.000 0.000 Ba
0.500 0.500 0.000 Li
0.000 0.500 0.500 Y
0.500 0.000 0.500 Y
0.500 0.500 0.500 Ir
```

DOS at the Fermi energy = 0.8356 states/eV/atom
formation energy from the elements = -0.177 eV/atom
space group = P4/mmm (123)
polymorph energy (0 for the lowest one) = 0 meV/atom

---

BaLiY2Ir: relaxed, PBE.

Geometry as POSCAR:
```
BaLiY2Ir
1.0
5.582 0.000 0.000
0.000 5.582 0.000
0.000 0.000 4.413
Ba Li Y Ir
1 1 2 1
direct
0.000 0.000 0.000 Ba
0.000 0.000 0.500 Li
0.000 0.500 0.000 Y
0.500 0.000 0.000 Y
0.500 0.500 0.500 Ir
```

DOS at the Fermi energy = 1.2533 states/eV/atom
formation energy from the elements = 1.484 eV/atom
space group = P4/mmm (123)
polymorph energy (0 for the lowest one) = 1661 meV/atom

---

BaLu3Ir: relaxed, PBE.

Geometry as POSCAR:
```
BaLu3Ir
1.0
5.451 0.000 0.000
0.000 5.451 0.000
0.000 0.000 5.451
Ba Lu Ir
1 3 1
direct
0.000 0.000 0.000 Ba
0.000 0.500 0.500 Lu
0.500 0.000 0.500 Lu
0.500 0.500 0.000 Lu
0.500 0.500 0.500 Ir
```

DOS at the Fermi energy = 1.1922 states/eV/atom
formation energy from the elements = -0.374 eV/atom
space group = Pm-3m (221)

---

BaMgIr2: relaxed, PBE.

Geometry as POSCAR:
```
BaMgIr2
1.0
3.524 0.000 0.000
0.000 3.524 0.000
0.000 0.000 7.982
Ba Mg Ir
1 1 2
direct
0.000 0.000 0.000 Ba
0.500 0.500 0.631 Mg
0.000 0.000 0.393 Ir
0.500 0.500 0.307 Ir
```

DOS at the Fermi energy = 0.9069 states/eV/atom
formation energy from the elements = 0.199 eV/atom
space group = P4mm (99)

---

BaMgIr2: relaxed, PBE.

Geometry as POSCAR:
```
BaMgIr2
1.0
4.460 0.000 0.000
0.000 4.460 0.000
0.000 0.000 4.164
Ba Mg Ir
1 1 2
direct
0.000 0.000 0.000 Ba
0.500 0.500 0.000 Mg
0.000 0.500 0.500 Ir
0.500 0.000 0.500 Ir
```

DOS at the Fermi energy = 0.6969 states/eV/atom
formation energy from the elements = 0.428 eV/atom
space group = P4/mmm (123)

---

BaMgIr2: relaxed, PBE.

Geometry as POSCAR:
```
BaMgIr2
1.0
4.483 0.000 0.000
0.000 2.217 5.483
0.000 -2.217 5.483
Ba Mg Ir
1 1 2
direct
0.000 0.000 0.000 Ba
0.500 0.271 0.271 Mg
0.000 0.713 0.713 Ir
0.500 0.635 0.635 Ir
```

DOS at the Fermi energy = 0.4589 states/eV/atom
formation energy from the elements = -0.013 eV/atom
space group = Amm2 (38)

---

BaMgIr2: relaxed, PBE.

Geometry as POSCAR:
```
BaMgIr2
1.0
-1.526 2.646 5.463
1.526 -2.646 5.463
1.526 2.646 -5.463
Ba Mg Ir
1 1 2
direct
0.000 0.000 0.000 Ba
0.697 0.197 0.500 Mg
0.282 0.782 0.500 Ir
0.474 0.474 0.000 Ir
```

DOS at the Fermi energy = 1.1705 states/eV/atom
formation energy from the elements = 0.257 eV/atom
space group = Imm2 (44)

---

BaMg2Ir: relaxed, PBE.

Geometry as POSCAR:
```
BaMg2Ir
1.0
-2.324 2.324 4.314
2.324 -2.324 4.314
2.324 2.324 -4.314
Ba Mg Ir
1 2 1
direct
0.000 0.000 0.000 Ba
0.250 0.750 0.500 Mg
0.750 0.250 0.500 Mg
0.500 0.500 0.000 Ir
```

DOS at the Fermi energy = 0.3736 states/eV/atom
formation energy from the elements = 0.118 eV/atom
space group = I4/mmm (139)

---

BaMg2Ir: relaxed, PBE.

Geometry as POSCAR:
```
BaMg2Ir
1.0
3.973 -2.287 0.000
3.973 2.287 0.000
-2.610 0.000 6.094
Ba Mg Ir
1 2 1
direct
0.000 0.000 0.000 Ba
0.197 0.197 0.592 Mg
0.803 0.803 0.408 Mg
0.500 0.500 0.500 Ir
```

DOS at the Fermi energy = 0.6259 states/eV/atom
formation energy from the elements = -0.129 eV/atom
space group = C2/m (12)

---

Ba3MgIr: relaxed, PBE.

Geometry as POSCAR:
```
Ba3MgIr
1.0
6.137 0.000 0.000
0.000 6.137 0.000
0.000 0.000 6.137
Ba Mg Ir
3 1 1
direct
0.000 0.000 0.500 Ba
0.000 0.500 0.000 Ba
0.500 0.000 0.000 Ba
0.500 0.500 0.500 Mg
0.000 0.000 0.000 Ir
```

DOS at the Fermi energy = 0.6029 states/eV/atom
formation energy from the elements = -0.044 eV/atom
space group = Pm-3m (221)

---

BaMg2Ir: relaxed, PBE.

Geometry as POSCAR:
```
BaMg2Ir
1.0
-2.476 2.946 3.870
2.476 -2.946 3.870
2.476 2.946 -3.870
Ba Mg Ir
1 2 1
direct
0.000 0.000 0.000 Ba
0.313 0.813 0.500 Mg
0.542 0.542 0.000 Mg
0.653 0.153 0.500 Ir
```

DOS at the Fermi energy = 0.5600 states/eV/atom
formation energy from the elements = 0.078 eV/atom
space group = Imm2 (44)

---

BaMg2Ir: relaxed, PBE.

Geometry as POSCAR:
```
BaMg2Ir
1.0
1.642 0.948 10.368
-1.642 0.948 10.368
0.000 -1.896 10.368
Ba Mg Ir
1 2 1
direct
0.000 0.000 0.000 Ba
0.228 0.228 0.228 Mg
0.772 0.772 0.772 Mg
0.500 0.500 0.500 Ir
```

DOS at the Fermi energy = 0.6745 states/eV/atom
formation energy from the elements = 0.245 eV/atom
space group = R-3m (166)